1.
DFT (meta-GGA SCAN) results for a PBEsol-optimized structure of CaIrPt2.

Output
* density of states at the Fermi level: 12.04 states/eV/cell
* magnetic moment: 0.0 μB per formula unit

```
data_CaIrPt2
_symmetry_space_group_name_H-M 'R -3 m'
_symmetry_Int_Tables_number 166
_symmetry_space_group_name_Hall '-R 3 2"'
_cell_length_a 2.8531
_cell_length_b 2.8531
_cell_length_c 27.7561
_cell_angle_alpha 90.00
_cell_angle_beta 90.00
_cell_angle_gamma 120.00
loop_
_atom_site_label
_atom_site_type_symbol
_atom_site_fract_x
_atom_site_fract_y
_atom_site_fract_z
Ca1 Ca 0.0000 0.0000 0.0000
Ir1 Ir 0.0000 0.0000 0.5000
Pt1 Pt 0.0000 0.0000 0.2462
```

=====

2.
DFT (meta-GGA SCAN) results for a PBEsol-optimized structure of Ca2ReIr.

Output
* density of states at the Fermi level: 8.59 states/eV/cell
* magnetic moment: 0.0 μB per formula unit

```
data_Ca2ReIr
_symmetry_space_group_name_H-M 'I 4/m m m'
_symmetry_Int_Tables_number 139
_symmetry_space_group_name_Hall '-I 4 2'
_cell_length_a 3.9795
_cell_length_b 3.9795
_cell_length_c 9.3448
_cell_angle_alpha 90.00
_cell_angle_beta 90.00
_cell_angle_gamma 90.00
loop_
_atom_site_label
_atom_site_type_symbol
_atom_site_fract_x
_atom_site_fract_y
_atom_site_fract_z
Ca1 Ca 0.0000 0.5000 0.2500
Re1 Re 0.0000 0.0000 0.0000
Ir1 Ir 0.0000 0.0000 0.5000
```

=====

3.
DFT (meta-GGA SCAN) results for a PBEsol-optimized structure of Ca4ReIr.

Output
* density of states at the Fermi level: 18.64 states/eV/cell
* magnetic moment: 2.6 μB per formula unit

```
data_Ca4ReIr
_symmetry_space_group_name_H-M 'F -4 3 m'
_symmetry_Int_Tables_number 216
_symmetry_space_group_name_Hall 'F -4 2 3'
_cell_length_a 8.1001
_cell_length_b 8.1001
_cell_length_c 8.1001
_cell_angle_alpha 90.00
_cell_angle_beta 90.00
_cell_angle_gamma 90.00
loop_
_atom_site_label
_atom_site_type_symbol
_atom_site_fract_x
_atom_site_fract_y
_atom_site_fract_z
Ca1 Ca 0.1247 0.1247 0.1247
Re1 Re 0.0000 0.0000 0.5000
Ir1 Ir 0.2500 0.2500 0.7500
```

=====

4.
DFT (meta-GGA SCAN) results for a PBEsol-optimized structure of Ca2ReIr.

Output
* density of states at the Fermi level: 3.08 states/eV/cell
* magnetic moment: 0.0 μB per formula unit

```
data_Ca2ReIr
_symmetry_space_group_name_H-M 'P 1 2/m 1'
_symmetry_Int_Tables_number 10
_symmetry_space_group_name_Hall '-P 2y'
_cell_length_a 2.8551
_cell_length_b 4.7416
_cell_length_c 5.4250
_cell_angle_alpha 90.00
_cell_angle_beta 100.61
_cell_angle_gamma 90.00
loop_
_atom_site_label
_atom_site_type_symbol
_atom_site_fract_x
_atom_site_fract_y
_atom_site_fract_z
Ca1 Ca 0.2265 0.0000 0.2549
Re1 Re 0.5000 0.5000 0.0000
Ir1 Ir 0.0000 0.5000 0.5000
```

=====

no.,DFT formation energy (eV/atom)
1,0.12
2,0.55
3,1.37
4,0.52